5
Lattice="3.7493 0.0000 0.0000 0.0000 3.7493 0.0000 0.0000 0.0000 3.7493" Properties=species:S:1:pos:R:3 comment="CrAuO3 PBE+U optimized geometry" dft_energy_ry_per_atom=-0.396 space_group="Pm-3m, No. 221" dos_at_fermi_per_ev_atom=0.4290 pbc="T T T"
Cr 0.0000 0.0000 0.0000
Au 1.8747 1.8747 1.8747
O 0.0000 0.0000 1.8747
O 0.0000 1.8747 0.0000
O 1.8747 0.0000 0.0000